# Cs4Sn2Au7

Cs4Sn2Au7 after structural relaxation (PBE, Alexandria).

```
Cs4Sn2Au7
1.0
-1.3237 -1.8118 10.5575
-5.8594 -5.7877 6.9760
0.8626 -7.7274 7.4860
Cs Au Sn
4 7 2
Cartesian
-1.1813 -2.8645 4.6760
-5.1393 -12.4624 20.3436
-1.9950 -4.8378 7.8972
-4.3255 -10.4891 17.1223
-0.8292 -7.8418 9.7556
-5.4914 -7.4851 15.2639
0.0000 0.0000 0.0000
-4.1930 -10.9980 13.4399
-4.8211 -6.6900 9.4528
-1.4994 -8.6369 15.5668
-2.1275 -4.3288 11.5797
-2.8415 -6.8905 11.2480
-3.4790 -8.4364 13.7716
```

Computed properties:
Total magnetization ... 0.00 μB/f.u.
Calculated formation energy ... -0.375 eV/atom